No. 1
RbPd2Pb2: PBEsol geometry, meta-GGA SCAN.

Output
* calculated volume: 27.0 A^3/atom
* DFT formation energy: -0.29 eV per atom

Lattice parameters (Å, degrees): 4.9323 4.9323 11.1022 90.00 90.00 90.00
Space group I4/mmm (No. 139)
Asymmetric unit:
Rb (0.0000, 0.0000, 0.0000)
Pd (0.0000, 0.5000, 0.2500)
Pb (0.0000, 0.0000, 0.3514)

***

No. 2
LiIrPdF2: PBEsol geometry, meta-GGA SCAN.

Output
* E_form (uncorrected): -0.18 eV/atom
* calculated volume: 16.5 A^3/atom

Lattice parameters (Å, degrees): 4.0687 4.0687 4.9897 90.00 90.00 90.00
Space group P4/mmm (No. 123)
Asymmetric unit:
Li (0.0000, 0.0000, 0.0000)
Ir (0.5000, 0.5000, 0.0000)
Pd (0.5000, 0.5000, 0.5000)
F (0.0000, 0.5000, 0.5000)

***

No. 3
BePtIN2: PBEsol geometry, meta-GGA SCAN.

Output
* E_form (uncorrected): 1.32 eV/atom
* calculated volume: 15.2 A^3/atom
* relative energy among the computed polymorphs: 51 kJ/mol of formula units

Lattice parameters (Å, degrees): 3.6457 3.6457 5.7032 90.00 90.00 90.00
Space group P4/mmm (No. 123)
Asymmetric unit:
Be (0.0000, 0.0000, 0.0000)
Pt (0.5000, 0.5000, 0.5000)
I (0.0000, 0.0000, 0.5000)
N (0.0000, 0.5000, 0.0000)

***

No. 4
Sr3CoTc: PBEsol geometry, meta-GGA SCAN.

Output
* calculated volume: 31.6 A^3/atom
* DFT formation energy: 1.09 eV per atom

Lattice parameters (Å, degrees): 5.4036 5.4036 5.4036 90.00 90.00 90.00
Space group Pm-3m (No. 221)
Asymmetric unit:
Sr (0.0000, 0.0000, 0.5000)
Co (0.0000, 0.0000, 0.0000)
Tc (0.5000, 0.5000, 0.5000)

***

No. 5
InPt2Rh: PBEsol geometry, meta-GGA SCAN.

Output
* calculated volume: 15.5 A^3/atom
* DFT formation energy: -0.26 eV per atom

Lattice parameters (Å, degrees): 5.5844 7.7779 2.8576 90.00 90.00 90.00
Space group Cmmm (No. 65)
Asymmetric unit:
In (0.0000, 0.0000, 0.0000)
Pt (0.2500, 0.2500, 0.5000)
Rh (0.0000, 0.5000, 0.0000)

***

No. 6
Tl3SiAs: PBEsol geometry, meta-GGA SCAN.

Output
* E_form (uncorrected): 0.55 eV/atom
* calculated volume: 27.4 A^3/atom

Lattice parameters (Å, degrees): 5.1521 5.1521 5.1521 90.00 90.00 90.00
Space group Pm-3m (No. 221)
Asymmetric unit:
Tl (0.0000, 0.0000, 0.5000)
Si (0.0000, 0.0000, 0.0000)
As (0.5000, 0.5000, 0.5000)